Record 1
This record from Alexandria via LeMat-Bulk describes PuTh2Au3 after structural relaxation. The functional is PBE.

Results
- Total magnetization: 0.923 μB per atom
- ΔE to the lowest computed polymorph: 8 meV/atom
- E_form: -3.02 eV/f.u.

Unit cell a=3.623 b=3.623 c=11.492 alpha=90.00 beta=90.00 gamma=90.00
Each line ends with the local moment (μB).
Sites, in units of the cell vectors:
Th: 0.500 0.500 0.829  -0.03
Th: 0.500 0.500 0.171  -0.03
Au: 0.000 0.000 0.000  -0.01
Au: 0.000 0.000 0.337  0.00
Au: 0.000 0.000 0.663  0.00
Pu: 0.500 0.500 0.500  5.38

---

Record 2
This record from Alexandria via LeMat-Bulk describes LiBe2Rh2 after structural relaxation. The functional is PBE.

Results
- Total magnetization: 0.000 μB per atom
- ΔE to the lowest computed polymorph: 139 meV/atom
- E_form: -1.90 eV/f.u.

Unit cell a=6.390 b=6.390 c=2.843 alpha=90.00 beta=90.00 gamma=90.00
Sites, in units of the cell vectors:
Rh: 0.154 0.346 0.000
Rh: 0.846 0.654 0.000
Rh: 0.346 0.846 0.000
Rh: 0.654 0.154 0.000
Be: 0.362 0.138 0.500
Be: 0.638 0.862 0.500
Be: 0.862 0.362 0.500
Be: 0.138 0.638 0.500
Li: 0.500 0.500 0.000
Li: 0.000 0.000 0.000

---

Record 3
This record from Alexandria via LeMat-Bulk describes Ho4ZnCu3 after structural relaxation. The functional is PBE.

Results
- Total magnetization: 0.000 μB per atom
- ΔE to the lowest computed polymorph: 23 meV/atom
- E_form: -2.08 eV/f.u.

Unit cell a=3.716 b=4.502 c=10.383 alpha=90.00 beta=90.00 gamma=90.00
Sites, in units of the cell vectors:
Ho: 0.000 0.000 0.144
Ho: 0.500 0.000 0.639
Ho: 0.000 0.500 0.851
Ho: 0.500 0.500 0.364
Cu: 0.000 0.500 0.572
Cu: 0.500 0.000 0.927
Cu: 0.000 0.000 0.430
Zn: 0.500 0.500 0.073

---

Record 4
This record from Alexandria via LeMat-Bulk describes La2Pr4NdSm after structural relaxation. The functional is PBE.

Results
- Total magnetization: 0.000 μB per atom
- E_form: 0.11 eV/f.u.

Unit cell a=5.245 b=5.238 c=11.756 alpha=63.35 beta=90.00 gamma=90.00
Sites, in units of the cell vectors:
Nd: 0.500 0.500 0.000
Pr: 0.500 0.250 0.749
Pr: 0.000 0.751 0.749
Pr: 0.500 0.750 0.251
Pr: 0.000 0.249 0.251
Sm: 0.000 0.500 0.500
La: 0.500 0.000 0.500
La: 0.000 0.000 0.000

---

Record 5
This record from Alexandria via LeMat-Bulk describes ErScPd6 after structural relaxation. The functional is PBE.

Results
- Total magnetization: 0.000 μB per atom
- E_form: -6.90 eV/f.u.

Unit cell a=4.061 b=4.061 c=8.099 alpha=90.00 beta=90.00 gamma=90.00
Sites, in units of the cell vectors:
Pd: 0.500 0.000 0.743
Pd: 0.000 0.500 0.743
Pd: 0.500 0.500 0.000
Pd: 0.500 0.000 0.257
Pd: 0.500 0.500 0.500
Pd: 0.000 0.500 0.257
Er: 0.000 0.000 0.000
Sc: 0.000 0.000 0.500

---

Record 6
This record from Alexandria via LeMat-Bulk describes Ti2PIr2 after structural relaxation. The functional is PBE.

Results
- Total magnetization: 0.000 μB per atom
- ΔE to the lowest computed polymorph: 0 meV/atom
- E_form: -2.59 eV/f.u.

Unit cell a=7.326 b=7.326 c=2.943 alpha=90.00 beta=90.00 gamma=90.00
Sites, in units of the cell vectors:
P: 0.000 0.000 0.000
P: 0.500 0.500 0.000
Ir: 0.635 0.135 0.000
Ir: 0.365 0.865 0.000
Ir: 0.865 0.635 0.000
Ir: 0.135 0.365 0.000
Ti: 0.661 0.839 0.500
Ti: 0.161 0.661 0.500
Ti: 0.839 0.339 0.500
Ti: 0.339 0.161 0.500

---

Record 7
This record from Alexandria via LeMat-Bulk describes Rb2Na9Sr after structural relaxation. The functional is PBE.

Results
- Total magnetization: 0.000 μB per atom
- E_form: 0.41 eV/f.u.

Unit cell a=7.298 b=7.298 c=12.670 alpha=73.26 beta=73.26 gamma=60.00
Sites, in units of the cell vectors:
Sr: 0.000 0.000 0.000
Rb: 0.860 0.860 0.419
Rb: 0.140 0.140 0.581
Na: 0.421 0.421 0.237
Na: 0.333 0.333 0.001
Na: 0.079 0.579 0.763
Na: 0.500 0.500 0.500
Na: 0.921 0.421 0.237
Na: 0.579 0.079 0.763
Na: 0.579 0.579 0.763
Na: 0.421 0.921 0.237
Na: 0.667 0.667 0.999

---

Record 8
This record from Alexandria via LeMat-Bulk describes Hf2VN after structural relaxation. The functional is PBE.

Results
- Total magnetization: 0.003 μB per atom
- Formation energy from raw total energies: -0.813 eV/atom

Unit cell a=3.886 b=6.524 c=5.560 alpha=107.05 beta=110.45 gamma=90.00
Sites, in units of the cell vectors:
V: 0.500 0.750 0.000
V: 0.500 0.250 0.000
N: 0.000 0.250 0.000
N: 0.000 0.750 0.000
Hf: 0.154 0.577 0.309
Hf: 0.846 0.423 0.691
Hf: 0.154 0.077 0.309
Hf: 0.846 0.923 0.691

---

Record 9
This record from Alexandria via LeMat-Bulk describes W2Se after structural relaxation. The functional is PBE.

Results
- Total magnetization: 0.000 μB per atom
- Formation energy from raw total energies: 0.608 eV/atom
- ΔE to the lowest computed polymorph: 552 meV/atom

Unit cell a=4.391 b=5.949 c=7.513 alpha=90.00 beta=90.00 gamma=90.00
Sites, in units of the cell vectors:
Se: 0.750 0.295 0.602
Se: 0.250 0.205 0.102
Se: 0.250 0.705 0.398
Se: 0.750 0.795 0.898
W: 0.250 0.989 0.807
W: 0.750 0.511 0.307
W: 0.250 0.489 0.693
W: 0.250 0.121 0.434
W: 0.750 0.879 0.566
W: 0.750 0.379 0.934
W: 0.250 0.621 0.066
W: 0.750 0.011 0.193

---

Record 10
This record from Alexandria via LeMat-Bulk describes La2TbDy9 after structural relaxation. The functional is PBE.

Results
- Total magnetization: 0.000 μB per atom
- ΔE to the lowest computed polymorph: 58 meV/atom
- E_form: 1.03 eV/f.u.

Unit cell a=3.485 b=11.358 c=11.358 alpha=120.00 beta=90.00 gamma=90.00
Sites, in units of the cell vectors:
La: 0.000 0.667 0.333
La: 0.000 0.333 0.667
Dy: 0.500 0.828 0.657
Dy: 0.000 0.500 0.000
Dy: 0.000 0.500 0.500
Dy: 0.000 0.000 0.500
Dy: 0.500 0.657 0.828
Dy: 0.500 0.172 0.828
Dy: 0.500 0.828 0.172
Dy: 0.500 0.172 0.343
Dy: 0.500 0.343 0.172
Tb: 0.000 0.000 0.000